Entry from Alexandria via LeMat-Bulk: an optimized crystal structure of HoAgTe2 (PBE).

## Properties
The formation energy (no corrections) comes out at -0.817 eV per atom. The total energy is -16.98 eV per cell. The calculation puts the theoretical density at 5.81 Mg/m³.

a = 4.501 Å, b = 4.501 Å, c = 8.986 Å
α = 75.50°, β = 75.50°, γ = 60.00°
Fractional coordinates of all 4 atoms:
Te  0.103  0.103  0.692
Te  0.897  0.897  0.308
Ho  0.500  0.500  0.500
Ag  0.000  0.000  0.000

Entry from Alexandria via LeMat-Bulk: an optimized crystal structure of Li3Ce3PaS8 (PBE).

## Properties
The formation energy (no corrections) comes out at -1.696 eV per atom. The total energy is -91.50 eV per cell. The calculation puts the theoretical density at 4.37 Mg/m³. For the density of states at the Fermi level, the calculation gives 22.8 states/eV/cell.

a = 8.155 Å, b = 8.154 Å, c = 7.724 Å
α = 121.88°, β = 90.00°, γ = 120.00°
Site moments in Bohr magnetons follow the coordinates.
Fractional coordinates of all 15 atoms:
Li  0.000  0.000  0.000  0.00
Li  0.000  0.500  0.000  0.00
Li  0.500  0.500  0.000  0.00
Ce  0.500  0.000  0.500  0.97
Ce  0.500  0.500  0.500  0.96
Ce  0.000  0.500  0.500  0.97
Pa  0.000  0.000  0.500  0.71
S  0.248  0.496  0.245  -0.02
S  0.752  0.504  0.755  -0.02
S  0.759  0.519  0.253  -0.02
S  0.241  0.481  0.747  -0.02
S  0.759  0.993  0.253  -0.02
S  0.241  0.007  0.747  -0.02
S  0.234  0.993  0.253  -0.02
S  0.766  0.007  0.747  -0.02

Entry from Alexandria via LeMat-Bulk: an optimized crystal structure of MnSiHg (PBE).

## Properties
The formation energy (no corrections) comes out at 0.370 eV per atom. The total energy is -13.78 eV per cell. As for the excess energy over the best structure of this formula in the dataset: 0.21 eV per formula unit. The calculation puts the theoretical density at 8.16 Mg/m³. For the density of states at the Fermi level, the calculation gives 0.3 states/eV/cell.

a = 4.338 Å, b = 4.338 Å, c = 4.338 Å
α = 60.00°, β = 60.00°, γ = 60.00°
Site moments in Bohr magnetons follow the coordinates.
Fractional coordinates of all 3 atoms:
Hg  0.500  0.500  0.500  0.03
Mn  0.750  0.750  0.750  3.42
Si  0.000  0.000  0.000  -0.10

Entry from Alexandria via LeMat-Bulk: an optimized crystal structure of Nd4Pt3 (PBE).

## Properties
The total energy is -87.95 eV per cell. As for the calculated formation energy: -0.97 eV/atom. The calculation puts the theoretical density at 10.62 Mg/m³. For the density of states at the Fermi level, the calculation gives 9.7 states/eV/cell.

a = 7.742 Å, b = 7.742 Å, c = 7.742 Å
α = 108.99°, β = 108.99°, γ = 108.99°
Fractional coordinates of all 14 atoms:
Nd  0.500  0.500  0.500
Nd  0.000  0.000  0.000
Nd  0.784  0.179  0.657
Nd  0.179  0.657  0.784
Nd  0.657  0.784  0.179
Nd  0.216  0.821  0.343
Nd  0.821  0.343  0.216
Nd  0.343  0.216  0.821
Pt  0.548  0.929  0.793
Pt  0.929  0.793  0.548
Pt  0.793  0.548  0.929
Pt  0.452  0.071  0.207
Pt  0.071  0.207  0.452
Pt  0.207  0.452  0.071

Entry from Alexandria via LeMat-Bulk: an optimized crystal structure of Pm6Pr12Sm (PBE).

## Properties
The total energy is -83.14 eV per cell. As for the calculated formation energy: 0.39 eV/atom. As for the excess energy over the best structure of this formula in the dataset: 5.11 eV per formula unit. The calculation puts the theoretical density at 6.31 Mg/m³. For the density of states at the Fermi level, the calculation gives 30.7 states/eV/cell.

a = 9.720 Å, b = 9.720 Å, c = 9.720 Å
α = 109.22°, β = 109.22°, γ = 109.22°
Fractional coordinates of all 19 atoms:
Pm  0.670  0.222  0.670
Pm  0.670  0.670  0.222
Pm  0.222  0.670  0.670
Pm  0.330  0.330  0.778
Pm  0.330  0.778  0.330
Pm  0.778  0.330  0.330
Pr  0.893  0.107  0.500
Pr  0.382  0.176  0.382
Pr  0.382  0.382  0.176
Pr  0.824  0.618  0.618
Pr  0.618  0.618  0.824
Pr  0.618  0.824  0.618
Pr  0.500  0.893  0.107
Pr  0.107  0.500  0.893
Pr  0.107  0.893  0.500
Pr  0.500  0.107  0.893
Pr  0.893  0.500  0.107
Pr  0.176  0.382  0.382
Sm  0.000  0.000  0.000

Entry from Alexandria via LeMat-Bulk: an optimized crystal structure of Dy3Al2Tc3C (PBE).

## Properties
The total energy is -61.80 eV per cell. As for the calculated formation energy: -0.02 eV/atom. The calculation puts the theoretical density at 8.77 Mg/m³. For the density of states at the Fermi level, the calculation gives 8.7 states/eV/cell.

a = 3.439 Å, b = 7.341 Å, c = 7.341 Å
α = 120.00°, β = 90.00°, γ = 90.00°
Fractional coordinates of all 9 atoms:
Dy  0.000  0.000  0.357
Dy  0.000  0.643  0.643
Dy  0.000  0.357  0.000
Al  0.500  0.333  0.667
Al  0.500  0.667  0.333
Tc  0.500  0.774  0.000
Tc  0.500  0.226  0.226
Tc  0.500  0.000  0.774
C  0.000  0.000  0.000

Entry from Alexandria via LeMat-Bulk: an optimized crystal structure of ReAgOs2 (PBE).

## Properties
The total energy is -35.62 eV per cell. As for the calculated formation energy: 0.53 eV/atom. As for the excess energy over the best structure of this formula in the dataset: 1.07 eV per formula unit. The calculation puts the theoretical density at 18.51 Mg/m³. For the density of states at the Fermi level, the calculation gives 4.4 states/eV/cell.

a = 2.757 Å, b = 3.962 Å, c = 5.539 Å
α = 90.00°, β = 90.00°, γ = 90.00°
Fractional coordinates of all 4 atoms:
Re  0.000  0.000  0.482
Os  0.000  0.000  0.015
Os  0.500  0.500  0.251
Ag  0.500  0.500  0.752

Entry from Alexandria via LeMat-Bulk: an optimized crystal structure of AgPd2S (PBE).

## Properties
The formation energy (no corrections) comes out at 0.085 eV per atom. The total energy is -17.03 eV per cell. The calculation puts the theoretical density at 9.19 Mg/m³. For the density of states at the Fermi level, the calculation gives 3.0 states/eV/cell.

a = 3.034 Å, b = 4.583 Å, c = 4.583 Å
α = 90.00°, β = 90.00°, γ = 90.00°
Fractional coordinates of all 4 atoms:
S  0.500  0.500  0.500
Pd  0.000  0.000  0.500
Pd  0.000  0.500  0.000
Ag  0.500  0.000  0.000

Entry from Alexandria via LeMat-Bulk: an optimized crystal structure of Ta2IrRu (PBE).

## Properties
The total energy is -43.45 eV per cell. As for the calculated formation energy: -0.40 eV/atom. The calculation puts the theoretical density at 16.85 Mg/m³. For the density of states at the Fermi level, the calculation gives 5.0 states/eV/cell.

a = 2.958 Å, b = 2.958 Å, c = 7.377 Å
α = 90.00°, β = 90.00°, γ = 90.03°
Fractional coordinates of all 4 atoms:
Ru  0.500  0.500  0.750
Ir  0.500  0.500  0.250
Ta  0.000  0.000  0.992
Ta  0.000  0.000  0.508

Entry from Alexandria via LeMat-Bulk: an optimized crystal structure of Sr2DyPaBi4 (PBE).

## Properties
The total energy is -38.52 eV per cell. As for the calculated formation energy: -0.69 eV/atom. The calculation puts the theoretical density at 8.16 Mg/m³.

a = 4.641 Å, b = 7.949 Å, c = 8.189 Å
α = 108.94°, β = 90.00°, γ = 90.00°
Site moments in Bohr magnetons follow the coordinates.
Fractional coordinates of all 8 atoms:
Sr  0.500  0.000  0.500  0.00
Sr  0.000  0.500  0.500  0.00
Dy  0.500  0.500  0.000  -0.01
Pa  0.000  0.000  0.000  0.21
Bi  0.500  0.236  0.222  -0.01
Bi  0.500  0.764  0.778  -0.01
Bi  0.000  0.253  0.777  -0.01
Bi  0.000  0.747  0.223  -0.01

Entry from Alexandria via LeMat-Bulk: an optimized crystal structure of CaZr3Os (PBE).

## Properties
The total energy is -37.79 eV per cell. As for the calculated formation energy: 0.22 eV/atom. As for the excess energy over the best structure of this formula in the dataset: 0.00 eV per formula unit. The calculation puts the theoretical density at 6.10 Mg/m³. For the density of states at the Fermi level, the calculation gives 8.6 states/eV/cell.

a = 5.157 Å, b = 5.157 Å, c = 5.157 Å
α = 90.00°, β = 90.00°, γ = 90.00°
Fractional coordinates of all 5 atoms:
Ca  0.500  0.500  0.500
Os  0.000  0.000  0.000
Zr  0.000  0.500  0.000
Zr  0.000  0.000  0.500
Zr  0.500  0.000  0.000

Entry from Alexandria via LeMat-Bulk: an optimized crystal structure of Ga2TcSb (PBE).

## Properties
The formation energy (no corrections) comes out at 0.303 eV per atom. The total energy is -38.66 eV per cell. The calculation puts the theoretical density at 7.66 Mg/m³. For the density of states at the Fermi level, the calculation gives 6.0 states/eV/cell.

a = 4.138 Å, b = 4.138 Å, c = 9.558 Å
α = 77.50°, β = 77.50°, γ = 90.00°
Fractional coordinates of all 8 atoms:
Sb  0.000  0.000  0.000
Sb  0.750  0.250  0.500
Tc  0.500  0.500  0.000
Tc  0.250  0.750  0.500
Ga  0.564  0.125  0.250
Ga  0.186  0.625  0.250
Ga  0.375  0.436  0.750
Ga  0.875  0.814  0.750

Entry from Alexandria via LeMat-Bulk: an optimized crystal structure of InP (PBE).

## Properties
The total energy is -50.09 eV per cell. As for the calculated formation energy: -0.10 eV/atom. The calculation puts the theoretical density at 4.18 Mg/m³. For the density of states at the Fermi level, the calculation gives 0.0 states/eV/cell.

a = 4.223 Å, b = 6.374 Å, c = 12.925 Å
α = 90.00°, β = 90.00°, γ = 90.00°
Fractional coordinates of all 12 atoms:
In  0.000  0.901  0.854
In  0.500  0.099  0.646
In  0.500  0.099  0.354
In  0.000  0.901  0.146
In  0.000  0.601  0.500
In  0.500  0.399  0.000
P  0.000  0.864  0.651
P  0.500  0.136  0.849
P  0.500  0.136  0.151
P  0.000  0.864  0.349
P  0.000  0.629  0.000
P  0.500  0.371  0.500

Entry from Alexandria via LeMat-Bulk: an optimized crystal structure of TiGa (PBE).

## Properties
The total energy is -35.97 eV per cell. As for the calculated formation energy: 0.97 eV/atom. The calculation puts the theoretical density at 3.90 Mg/m³. For the density of states at the Fermi level, the calculation gives 13.3 states/eV/cell.

a = 5.853 Å, b = 5.853 Å, c = 5.853 Å
α = 90.00°, β = 90.00°, γ = 90.00°
Fractional coordinates of all 8 atoms:
Ti  0.250  0.250  0.250
Ti  0.250  0.750  0.750
Ti  0.750  0.250  0.750
Ti  0.750  0.750  0.250
Ga  0.000  0.000  0.000
Ga  0.000  0.500  0.500
Ga  0.500  0.000  0.500
Ga  0.500  0.500  0.000

Entry from Alexandria via LeMat-Bulk: an optimized crystal structure of ThSb3Au (PBE).

## Properties
The formation energy (no corrections) comes out at -0.410 eV per atom. The total energy is -100.45 eV per cell. The calculation puts the theoretical density at 9.92 Mg/m³. For the density of states at the Fermi level, the calculation gives 11.4 states/eV/cell.

a = 6.247 Å, b = 6.322 Å, c = 13.459 Å
α = 90.00°, β = 90.00°, γ = 90.00°
Fractional coordinates of all 20 atoms:
Th  0.750  0.506  0.686
Th  0.250  0.494  0.314
Th  0.750  0.006  0.314
Th  0.250  0.994  0.686
Sb  0.000  0.250  0.501
Sb  0.500  0.750  0.499
Sb  0.000  0.750  0.499
Sb  0.500  0.250  0.501
Sb  0.250  0.134  0.933
Sb  0.750  0.866  0.067
Sb  0.250  0.634  0.067
Sb  0.750  0.366  0.933
Sb  0.250  0.491  0.739
Sb  0.750  0.509  0.261
Sb  0.250  0.991  0.261
Sb  0.750  0.009  0.739
Au  0.500  0.250  0.116
Au  0.000  0.750  0.884
Au  0.500  0.750  0.884
Au  0.000  0.250  0.116

Entry from Alexandria via LeMat-Bulk: an optimized crystal structure of Li2Zn3Ag4 (PBE).

## Properties
The total energy is -20.24 eV per cell. As for the calculated formation energy: -0.13 eV/atom. As for the excess energy over the best structure of this formula in the dataset: 0.17 eV per formula unit. The calculation puts the theoretical density at 7.43 Mg/m³. For the density of states at the Fermi level, the calculation gives 2.5 states/eV/cell.

a = 4.539 Å, b = 5.119 Å, c = 7.218 Å
α = 114.32°, β = 108.32°, γ = 90.00°
Fractional coordinates of all 9 atoms:
Li  0.336  0.011  0.673
Li  0.664  0.989  0.327
Zn  0.889  0.330  0.779
Zn  0.111  0.670  0.221
Zn  0.000  0.000  0.000
Ag  0.559  0.331  0.117
Ag  0.786  0.693  0.572
Ag  0.441  0.669  0.883
Ag  0.214  0.307  0.428

Entry from Alexandria via LeMat-Bulk: an optimized crystal structure of Tl5In2Hg12 (PBE).

## Properties
The total energy is -20.93 eV per cell. As for the calculated formation energy: 0.00 eV/atom. The calculation puts the theoretical density at 11.32 Mg/m³. For the density of states at the Fermi level, the calculation gives 7.7 states/eV/cell.

a = 6.370 Å, b = 10.343 Å, c = 8.936 Å
α = 105.76°, β = 90.00°, γ = 107.93°
Fractional coordinates of all 19 atoms:
Tl  0.334  0.668  0.810
Tl  0.234  0.468  0.084
Tl  0.000  0.000  0.500
Tl  0.766  0.532  0.916
Tl  0.666  0.332  0.190
In  0.746  0.000  0.000
In  0.254  0.000  0.000
Hg  0.110  0.220  0.264
Hg  0.144  0.790  0.189
Hg  0.645  0.790  0.189
Hg  0.060  0.622  0.427
Hg  0.562  0.622  0.427
Hg  0.456  0.912  0.621
Hg  0.544  0.088  0.379
Hg  0.940  0.378  0.573
Hg  0.438  0.378  0.573
Hg  0.856  0.210  0.811
Hg  0.355  0.210  0.811
Hg  0.890  0.780  0.736

Entry from Alexandria via LeMat-Bulk: an optimized crystal structure of Sm2MgHg5 (PBE).

## Properties
The total energy is -15.00 eV per cell. As for the calculated formation energy: -0.31 eV/atom. The calculation puts the theoretical density at 11.17 Mg/m³. For the density of states at the Fermi level, the calculation gives 4.7 states/eV/cell.

a = 5.084 Å, b = 5.084 Å, c = 8.444 Å
α = 107.52°, β = 107.52°, γ = 90.00°
Fractional coordinates of all 8 atoms:
Sm  0.746  0.746  0.493
Sm  0.254  0.254  0.507
Mg  0.000  0.000  0.000
Hg  0.500  0.500  0.000
Hg  0.882  0.382  0.763
Hg  0.382  0.882  0.763
Hg  0.118  0.618  0.237
Hg  0.618  0.118  0.237

Entry from Alexandria via LeMat-Bulk: an optimized crystal structure of SiAsCl (PBE).

## Properties
The formation energy (no corrections) comes out at 0.305 eV per atom. The total energy is -11.00 eV per cell. As for the excess energy over the best structure of this formula in the dataset: 2.48 eV per formula unit. The calculation puts the theoretical density at 3.54 Mg/m³. For the density of states at the Fermi level, the calculation gives 1.2 states/eV/cell.

a = 7.217 Å, b = 7.217 Å, c = 7.217 Å
α = 155.41°, β = 155.41°, γ = 35.05°
Fractional coordinates of all 3 atoms:
As  0.043  0.043  0.000
Cl  0.292  0.292  0.000
Si  0.666  0.666  0.000

Entry from Alexandria via LeMat-Bulk: an optimized crystal structure of AcPmAl (PBE).

## Properties
The total energy is -25.03 eV per cell. As for the calculated formation energy: 0.03 eV/atom. As for the excess energy over the best structure of this formula in the dataset: 0.53 eV per formula unit. The calculation puts the theoretical density at 6.49 Mg/m³. For the density of states at the Fermi level, the calculation gives 7.7 states/eV/cell.

a = 3.850 Å, b = 8.225 Å, c = 6.450 Å
α = 90.00°, β = 90.00°, γ = 90.00°
Fractional coordinates of all 6 atoms:
Pm  0.000  0.329  0.250
Pm  0.000  0.671  0.750
Al  0.000  0.000  0.000
Al  0.000  0.000  0.500
Ac  0.500  0.737  0.250
Ac  0.500  0.263  0.750